A geometry-optimized Ac4DyPb5 structure. Source: the Alexandria database, functional PBE.

Energy of formation from the pure elements in kcal/mol of atoms: -10.818
Total moment in μB/atom: 0.000
E in eV/atom: -4.4269

abc: 3.8242 3.8242 23.2372
angles: 90.00 90.00 90.00
Closest atoms and distances in Å follow each position.
Space group P4/mmm (No. 123)
One atom of each set of equivalent atoms:
Ac1 0.0000 0.0000 0.1032 x2  8 Pb 3.61, 4 Ac 3.82
Ac2 0.0000 0.0000 0.3090 x2  8 Pb 3.61, 4 Ac 3.82
Dy1 0.0000 0.0000 0.5000 x1  8 Pb 3.39
Pb1 0.5000 0.5000 0.0000 x1  8 Ac 3.61, 4 Pb 3.82
Pb2 0.5000 0.5000 0.2059 x2  8 Ac 3.61, 4 Pb 3.82
Pb3 0.5000 0.5000 0.4120 x2  4 Dy 3.39, 4 Ac 3.61